PdSe2BrCl | PBE | optimized geometry

The calculation puts the electronic total energy at -2.7319 eV per atom. The value obtained for the energy relative to the elements, uncorrected is 2.0 eV per formula unit. The density of states at the Fermi level is 6.64 states/eV/cell. The value obtained for the total magnetization is 2.8 μB per formula unit. The value obtained for the volume is 129.4 Å³/cell. The energy relative to the lowest polymorph listed for this composition is 0 meV per atom.

The structure belongs to space group P4/mmm (No. 123); the cell edges are 5.024, 5.024 and 5.128 Å and the angles 90.00°, 90.00° and 90.00°. Symmetry generates all atoms from Pd at (0.000, 0.000, 0.000), Se at (0.000, 0.500, 0.000), Br at (0.000, 0.000, 0.500) and Cl at (0.500, 0.500, 0.500).